P.
# TiBeHRh2 | Alexandria via LeMat-Bulk | PBE | relaxed
data_TiBeHRh2
_chemical_formula_sum 'Ti1 Be1 H1 Rh2'
_space_group_name_H-M_alt 'P 4/m m m'
_space_group_IT_number 123
_space_group_name_Hall '-P 4 2'
_cell_length_a 4.008
_cell_length_b 4.008
_cell_length_c 3.417
_cell_angle_alpha 90.00
_cell_angle_beta 90.00
_cell_angle_gamma 90.00
loop_
_atom_site_label
_atom_site_type_symbol
_atom_site_fract_x
_atom_site_fract_y
_atom_site_fract_z
Ti1 Ti 0.000 0.000 0.000
Be1 Be 0.500 0.500 0.000
H1 H 0.500 0.500 0.500
Rh1 Rh 0.000 0.500 0.500
# calculated volume	10.98	A^3/atom
# size of the total moment	0.0	Bohr magnetons per cell

=====

Q.
# TiBeHRh2 | Alexandria via LeMat-Bulk | PBE | relaxed
data_TiBeHRh2
_chemical_formula_sum 'Ti1 Be1 H1 Rh2'
_space_group_name_H-M_alt 'P 4/m m m'
_space_group_IT_number 123
_space_group_name_Hall '-P 4 2'
_cell_length_a 3.927
_cell_length_b 3.927
_cell_length_c 3.629
_cell_angle_alpha 90.00
_cell_angle_beta 90.00
_cell_angle_gamma 90.00
loop_
_atom_site_label
_atom_site_type_symbol
_atom_site_fract_x
_atom_site_fract_y
_atom_site_fract_z
Ti1 Ti 0.000 0.000 0.000
Be1 Be 0.500 0.500 0.000
H1 H 0.000 0.000 0.500
Rh1 Rh 0.000 0.500 0.500
# calculated volume	11.19	A^3/atom
# size of the total moment	0.0	Bohr magnetons per cell

=====

Of them, the most stable is P and the least stable is Q.

=====

P.
# BeH3Ru | Alexandria via LeMat-Bulk | PBE | relaxed
data_BeH3Ru
_chemical_formula_sum 'Be1 H3 Ru1'
_space_group_name_H-M_alt 'P m -3 m'
_space_group_IT_number 221
_space_group_name_Hall '-P 4 2 3'
_cell_length_a 3.116
_cell_length_b 3.116
_cell_length_c 3.116
_cell_angle_alpha 90.00
_cell_angle_beta 90.00
_cell_angle_gamma 90.00
loop_
_atom_site_label
_atom_site_type_symbol
_atom_site_fract_x
_atom_site_fract_y
_atom_site_fract_z
Be1 Be 0.000 0.000 0.000
H1 H 0.000 0.000 0.500
Ru1 Ru 0.500 0.500 0.500
# calculated volume	6.05	A^3/atom
# size of the total moment	0.9	Bohr magnetons per cell

=====

Q.
# BeH3Ru | Alexandria via LeMat-Bulk | PBE | relaxed
data_BeH3Ru
_chemical_formula_sum 'Be1 H3 Ru1'
_space_group_name_H-M_alt 'P m -3 m'
_space_group_IT_number 221
_space_group_name_Hall '-P 4 2 3'
_cell_length_a 3.325
_cell_length_b 3.325
_cell_length_c 3.325
_cell_angle_alpha 90.00
_cell_angle_beta 90.00
_cell_angle_gamma 90.00
loop_
_atom_site_label
_atom_site_type_symbol
_atom_site_fract_x
_atom_site_fract_y
_atom_site_fract_z
Be1 Be 0.000 0.000 0.000
H1 H 0.000 0.500 0.500
Ru1 Ru 0.500 0.500 0.500
# calculated volume	7.35	A^3/atom
# size of the total moment	0.0	Bohr magnetons per cell

=====

Of them, the most stable is Q and the least stable is P.

=====

P.
# BeSbH2 | Alexandria via LeMat-Bulk | PBE | relaxed
data_BeSbH2
_chemical_formula_sum 'Be2 Sb2 H4'
_space_group_name_H-M_alt 'P 1'
_space_group_IT_number 1
_cell_length_a 4.175
_cell_length_b 5.193
_cell_length_c 6.915
_cell_angle_alpha 68.35
_cell_angle_beta 85.73
_cell_angle_gamma 88.78
loop_
_space_group_symop_operation_xyz
'x,y,z'
loop_
_atom_site_label
_atom_site_type_symbol
_atom_site_fract_x
_atom_site_fract_y
_atom_site_fract_z
Be1 Be 0.000 0.000 0.000
Be2 Be 0.423 0.106 0.836
Sb1 Sb 0.393 0.433 0.470
Sb2 Sb 0.894 0.830 0.380
H1 H 0.219 0.242 0.949
H2 H 0.231 0.854 0.902
H3 H 0.422 0.326 0.260
H4 H 0.756 0.099 0.855
# calculated volume	17.37	A^3/atom
# size of the total moment	0.0	Bohr magnetons per cell

=====

Q.
# BeSbH2 | Alexandria via LeMat-Bulk | PBE | relaxed
data_BeSbH2
_chemical_formula_sum 'Be2 Sb2 H4'
_space_group_name_H-M_alt 'P 1'
_space_group_IT_number 1
_cell_length_a 4.061
_cell_length_b 4.062
_cell_length_c 9.998
_cell_angle_alpha 89.04
_cell_angle_beta 88.82
_cell_angle_gamma 61.63
loop_
_space_group_symop_operation_xyz
'x,y,z'
loop_
_atom_site_label
_atom_site_type_symbol
_atom_site_fract_x
_atom_site_fract_y
_atom_site_fract_z
Be1 Be 0.000 0.000 0.000
Be2 Be 0.285 0.285 0.999
Sb1 Sb 0.481 0.460 0.582
Sb2 Sb 0.824 0.800 0.417
H1 H 0.184 0.095 0.107
H2 H 0.192 0.099 0.892
H3 H 0.624 0.298 0.001
H4 H 0.987 0.661 0.000
# calculated volume	18.13	A^3/atom
# size of the total moment	0.0	Bohr magnetons per cell

=====

Of them, the most stable is Q and the least stable is P.

=====

P.
# BeSbH2 | Alexandria via LeMat-Bulk | PBE | relaxed
data_BeSbH2
_chemical_formula_sum 'Be4 Sb4 H8'
_space_group_name_H-M_alt 'F m -3 m'
_space_group_IT_number 225
_space_group_name_Hall '-F 4 2 3'
_cell_length_a 5.508
_cell_length_b 5.508
_cell_length_c 5.508
_cell_angle_alpha 90.00
_cell_angle_beta 90.00
_cell_angle_gamma 90.00
loop_
_atom_site_label
_atom_site_type_symbol
_atom_site_fract_x
_atom_site_fract_y
_atom_site_fract_z
Be1 Be 0.000 0.000 0.000
Sb1 Sb 0.000 0.000 0.500
H1 H 0.250 0.250 0.250
# calculated volume	10.45	A^3/atom
# size of the total moment	0.0	Bohr magnetons per cell

=====

Q.
# BeSbH2 | Alexandria via LeMat-Bulk | PBE | relaxed
data_BeSbH2
_chemical_formula_sum 'Be2 Sb2 H4'
_space_group_name_H-M_alt 'P 1 m 1'
_space_group_IT_number 6
_cell_length_a 4.810
_cell_length_b 4.166
_cell_length_c 7.826
_cell_angle_alpha 90.00
_cell_angle_beta 96.89
_cell_angle_gamma 90.00
loop_
_space_group_symop_operation_xyz
'x,y,z'
'x,-y,z'
loop_
_atom_site_label
_atom_site_type_symbol
_atom_site_fract_x
_atom_site_fract_y
_atom_site_fract_z
Be1 Be 0.000 0.250 0.000
Sb1 Sb 0.282 0.000 0.260
Sb2 Sb 0.846 0.500 0.268
H1 H 0.114 0.500 0.899
H2 H 0.485 0.500 0.708
H3 H 0.559 0.500 0.629
H4 H 0.840 0.000 0.903
# calculated volume	19.46	A^3/atom
# size of the total moment	0.0	Bohr magnetons per cell

=====

Of them, the most stable is Q and the least stable is P.

=====

P.
# BeSbH2 | Alexandria via LeMat-Bulk | PBE | relaxed
data_BeSbH2
_chemical_formula_sum 'Be2 Sb2 H4'
_space_group_name_H-M_alt 'P 1'
_space_group_IT_number 1
_cell_length_a 4.183
_cell_length_b 4.847
_cell_length_c 7.993
_cell_angle_alpha 93.00
_cell_angle_beta 105.10
_cell_angle_gamma 90.04
loop_
_space_group_symop_operation_xyz
'x,y,z'
loop_
_atom_site_label
_atom_site_type_symbol
_atom_site_fract_x
_atom_site_fract_y
_atom_site_fract_z
Be1 Be 0.000 0.000 0.000
Be2 Be 0.500 0.000 0.000
Sb1 Sb 0.382 0.802 0.264
Sb2 Sb 0.884 0.231 0.269
H1 H 0.201 0.131 0.902
H2 H 0.582 0.344 0.630
H3 H 0.609 0.440 0.710
H4 H 0.699 0.858 0.899
# calculated volume	19.53	A^3/atom
# size of the total moment	0.0	Bohr magnetons per cell

=====

Q.
# BeSbH2 | Alexandria via LeMat-Bulk | PBE | relaxed
data_BeSbH2
_chemical_formula_sum 'Be4 Sb4 H8'
_space_group_name_H-M_alt 'C 1 m 1'
_space_group_IT_number 8
_cell_length_a 7.334
_cell_length_b 3.980
_cell_length_c 10.044
_cell_angle_alpha 90.00
_cell_angle_beta 105.32
_cell_angle_gamma 90.00
loop_
_space_group_symop_operation_xyz
'x,y,z'
'x,-y,z'
'x+1/2,y+1/2,z'
'x+1/2,-y+1/2,z'
loop_
_atom_site_label
_atom_site_type_symbol
_atom_site_fract_x
_atom_site_fract_y
_atom_site_fract_z
Be1 Be 0.000 0.250 0.000
Sb1 Sb 0.198 0.000 0.586
Sb2 Sb 0.309 0.500 0.416
H1 H 0.046 0.000 0.112
H2 H 0.145 0.500 0.995
H3 H 0.355 0.000 0.005
H4 H 0.454 0.500 0.888
# calculated volume	17.67	A^3/atom
# size of the total moment	0.0	Bohr magnetons per cell

=====

Of them, the most stable is Q and the least stable is P.

=====

P.
# BeSbH2 | Alexandria via LeMat-Bulk | PBE | relaxed
data_BeSbH2
_chemical_formula_sum 'Be2 Sb2 H4'
_space_group_name_H-M_alt 'P 1 m 1'
_space_group_IT_number 6
_cell_length_a 4.422
_cell_length_b 4.269
_cell_length_c 6.204
_cell_angle_alpha 90.00
_cell_angle_beta 90.67
_cell_angle_gamma 90.00
loop_
_space_group_symop_operation_xyz
'x,y,z'
'x,-y,z'
loop_
_atom_site_label
_atom_site_type_symbol
_atom_site_fract_x
_atom_site_fract_y
_atom_site_fract_z
Be1 Be 0.000 0.000 0.000
Be2 Be 0.498 0.000 0.706
Sb1 Sb 0.484 0.500 0.496
Sb2 Sb 0.980 0.500 0.200
H1 H 0.283 0.000 0.881
H2 H 0.782 0.000 0.823
H3 H 0.996 0.411 0.733
# calculated volume	14.64	A^3/atom
# size of the total moment	0.0	Bohr magnetons per cell

=====

Q.
# BeSbH2 | Alexandria via LeMat-Bulk | PBE | relaxed
data_BeSbH2
_chemical_formula_sum 'Be2 Sb2 H4'
_space_group_name_H-M_alt 'P 1'
_space_group_IT_number 1
_cell_length_a 4.205
_cell_length_b 4.306
_cell_length_c 7.471
_cell_angle_alpha 85.87
_cell_angle_beta 87.93
_cell_angle_gamma 61.81
loop_
_space_group_symop_operation_xyz
'x,y,z'
loop_
_atom_site_label
_atom_site_type_symbol
_atom_site_fract_x
_atom_site_fract_y
_atom_site_fract_z
Be1 Be 0.000 0.000 0.000
Be2 Be 0.381 0.071 0.860
Sb1 Sb 0.284 0.195 0.531
Sb2 Sb 0.617 0.561 0.329
H1 H 0.073 0.307 0.964
H2 H 0.338 0.760 0.905
H3 H 0.721 0.057 0.876
H4 H 0.965 0.911 0.183
# calculated volume	14.86	A^3/atom
# size of the total moment	0.0	Bohr magnetons per cell

=====

Of them, the most stable is Q and the least stable is P.

=====

P.
# Be2SbH2 | Alexandria via LeMat-Bulk | PBE | relaxed
data_Be2SbH2
_chemical_formula_sum 'Be4 Sb2 H4'
_space_group_name_H-M_alt 'I 4/m m m'
_space_group_IT_number 139
_space_group_name_Hall '-I 4 2'
_cell_length_a 3.250
_cell_length_b 3.250
_cell_length_c 9.956
_cell_angle_alpha 90.00
_cell_angle_beta 90.00
_cell_angle_gamma 90.00
loop_
_atom_site_label
_atom_site_type_symbol
_atom_site_fract_x
_atom_site_fract_y
_atom_site_fract_z
Be1 Be 0.000 0.500 0.250
Sb1 Sb 0.000 0.000 0.000
H1 H 0.000 0.000 0.297
# calculated volume	10.52	A^3/atom
# size of the total moment	0.0	Bohr magnetons per cell

=====

Q.
# Be2SbH2 | Alexandria via LeMat-Bulk | PBE | relaxed
data_Be2SbH2
_chemical_formula_sum 'Be4 Sb2 H4'
_space_group_name_H-M_alt 'P 4/m b m'
_space_group_IT_number 127
_space_group_name_Hall '-P 4 2ab'
_cell_length_a 5.585
_cell_length_b 5.585
_cell_length_c 3.644
_cell_angle_alpha 90.00
_cell_angle_beta 90.00
_cell_angle_gamma 90.00
loop_
_atom_site_label
_atom_site_type_symbol
_atom_site_fract_x
_atom_site_fract_y
_atom_site_fract_z
Be1 Be 0.247 0.253 0.000
Sb1 Sb 0.000 0.000 0.500
H1 H 0.049 0.549 0.500
# calculated volume	11.37	A^3/atom
# size of the total moment	0.0	Bohr magnetons per cell

=====

Of them, the most stable is P and the least stable is Q.

=====

P.
# BeSbTe2H | Alexandria via LeMat-Bulk | PBE | relaxed
data_BeSbTe2H
_chemical_formula_sum 'Be1 Sb1 Te2 H1'
_space_group_name_H-M_alt 'P 4/m m m'
_space_group_IT_number 123
_space_group_name_Hall '-P 4 2'
_cell_length_a 5.258
_cell_length_b 5.258
_cell_length_c 3.839
_cell_angle_alpha 90.00
_cell_angle_beta 90.00
_cell_angle_gamma 90.00
loop_
_atom_site_label
_atom_site_type_symbol
_atom_site_fract_x
_atom_site_fract_y
_atom_site_fract_z
Be1 Be 0.000 0.000 0.000
Sb1 Sb 0.500 0.500 0.000
Te1 Te 0.000 0.500 0.500
H1 H 0.500 0.500 0.500
# calculated volume	21.23	A^3/atom
# size of the total moment	0.0	Bohr magnetons per cell

=====

Q.
# BeSbTe2H | Alexandria via LeMat-Bulk | PBE | relaxed
data_BeSbTe2H
_chemical_formula_sum 'Be1 Sb1 Te2 H1'
_space_group_name_H-M_alt 'P 4/m m m'
_space_group_IT_number 123
_space_group_name_Hall '-P 4 2'
_cell_length_a 5.110
_cell_length_b 5.110
_cell_length_c 4.814
_cell_angle_alpha 90.00
_cell_angle_beta 90.00
_cell_angle_gamma 90.00
loop_
_atom_site_label
_atom_site_type_symbol
_atom_site_fract_x
_atom_site_fract_y
_atom_site_fract_z
Be1 Be 0.000 0.000 0.000
Sb1 Sb 0.000 0.000 0.500
Te1 Te 0.000 0.500 0.000
H1 H 0.500 0.500 0.500
# calculated volume	25.14	A^3/atom
# size of the total moment	1.0	Bohr magnetons per cell

=====

Of them, the most stable is P and the least stable is Q.